[1]
# BeRuPb2 | Alexandria via LeMat-Bulk | GGA-PBE | relaxed
data_BeRuPb2
_symmetry_space_group_name_H-M 'P 1'
_symmetry_Int_Tables_number 1
_cell_length_a 5.509
_cell_length_b 5.509
_cell_length_c 5.509
_cell_angle_alpha 136.35
_cell_angle_beta 136.35
_cell_angle_gamma 63.44
loop_
_symmetry_equiv_pos_as_xyz
'x,y,z'
loop_
_atom_site_label
_atom_site_fract_x
_atom_site_fract_y
_atom_site_fract_z
Pb1 0.000 0.000 0.000
Pb2 0.250 0.750 0.500
Ru1 0.500 0.500 0.000
Be1 0.750 0.250 0.500
# Formation energy (eV/atom): 0.759
# Raw total energy (eV per atom): -4.346
# Energy above the most stable polymorph in this dataset (kJ/mol of formula units): 227

=====

[2]
# Cu2TcPt | Alexandria via LeMat-Bulk | GGA-PBE | relaxed
data_Cu2TcPt
_symmetry_space_group_name_H-M 'P 1'
_symmetry_Int_Tables_number 1
_cell_length_a 4.599
_cell_length_b 4.599
_cell_length_c 4.599
_cell_angle_alpha 130.21
_cell_angle_beta 130.21
_cell_angle_gamma 73.07
loop_
_symmetry_equiv_pos_as_xyz
'x,y,z'
loop_
_atom_site_label
_atom_site_fract_x
_atom_site_fract_y
_atom_site_fract_z
Cu1 0.000 0.000 0.000
Cu2 0.500 0.500 0.000
Pt1 0.250 0.750 0.500
Tc1 0.750 0.250 0.500
# Formation energy (eV/atom): 0.191
# Raw total energy (eV per atom): -5.959
# Energy above the most stable polymorph in this dataset (kJ/mol of formula units): 80

=====

[3]
# Zn2NiPt2 | Alexandria via LeMat-Bulk | GGA-PBE | relaxed
data_Zn2NiPt2
_symmetry_space_group_name_H-M 'P 1'
_symmetry_Int_Tables_number 1
_cell_length_a 7.228
_cell_length_b 7.228
_cell_length_c 2.895
_cell_angle_alpha 90.00
_cell_angle_beta 90.00
_cell_angle_gamma 90.00
loop_
_symmetry_equiv_pos_as_xyz
'x,y,z'
loop_
_atom_site_label
_atom_site_fract_x
_atom_site_fract_y
_atom_site_fract_z
Ni1 0.000 0.000 0.000
Ni2 0.500 0.500 0.000
Zn1 0.158 0.658 0.500
Zn2 0.658 0.842 0.500
Zn3 0.842 0.342 0.500
Zn4 0.342 0.158 0.500
Pt1 0.358 0.858 0.000
Pt2 0.858 0.642 0.000
Pt3 0.642 0.142 0.000
Pt4 0.142 0.358 0.000
# Formation energy (eV/atom): -0.195
# Raw total energy (eV per atom): -4.277
# Energy above the most stable polymorph in this dataset (kJ/mol of formula units): 0

=====

[4]
# PaPtPb | Alexandria via LeMat-Bulk | GGA-PBE | relaxed
data_PaPtPb
_symmetry_space_group_name_H-M 'P 1'
_symmetry_Int_Tables_number 1
_cell_length_a 4.778
_cell_length_b 4.778
_cell_length_c 4.778
_cell_angle_alpha 60.00
_cell_angle_beta 60.00
_cell_angle_gamma 60.00
loop_
_symmetry_equiv_pos_as_xyz
'x,y,z'
loop_
_atom_site_label
_atom_site_fract_x
_atom_site_fract_y
_atom_site_fract_z
Pb1 0.500 0.500 0.500
Pa1 0.000 0.000 0.000
Pt1 0.250 0.250 0.250
# Formation energy (eV/atom): -0.549
# Raw total energy (eV per atom): -6.964

=====

[5]
# CaTiAlCr2 | Alexandria via LeMat-Bulk | GGA-PBE | relaxed
data_CaTiAlCr2
_symmetry_space_group_name_H-M 'P 1'
_symmetry_Int_Tables_number 1
_cell_length_a 4.557
_cell_length_b 4.840
_cell_length_c 4.557
_cell_angle_alpha 90.00
_cell_angle_beta 90.00
_cell_angle_gamma 90.00
loop_
_symmetry_equiv_pos_as_xyz
'x,y,z'
loop_
_atom_site_label
_atom_site_fract_x
_atom_site_fract_y
_atom_site_fract_z
Cr1 0.000 0.000 0.500
Cr2 0.500 0.000 0.000
Ca1 0.500 0.500 0.500
Al1 0.000 0.000 0.000
Ti1 0.000 0.500 0.000
# Formation energy (eV/atom): 1.189
# Raw total energy (eV per atom): -5.388

=====

[6]
# LaPa2ReN5 | Alexandria via LeMat-Bulk | GGA-PBE | relaxed
data_LaPa2ReN5
_symmetry_space_group_name_H-M 'P 1'
_symmetry_Int_Tables_number 1
_cell_length_a 6.623
_cell_length_b 6.623
_cell_length_c 7.496
_cell_angle_alpha 116.22
_cell_angle_beta 116.22
_cell_angle_gamma 90.00
loop_
_symmetry_equiv_pos_as_xyz
'x,y,z'
loop_
_atom_site_label
_atom_site_fract_x
_atom_site_fract_y
_atom_site_fract_z
La1 0.250 0.250 0.500
La2 0.750 0.750 0.500
Pa1 0.179 0.321 0.000
Pa2 0.679 0.179 0.000
Pa3 0.321 0.821 0.000
Pa4 0.821 0.679 0.000
Re1 0.250 0.750 0.500
Re2 0.750 0.250 0.500
N1 0.985 0.485 0.263
N2 0.722 0.222 0.737
N3 0.015 0.515 0.737
N4 0.222 0.015 0.737
N5 0.515 0.722 0.737
N6 0.778 0.985 0.263
N7 0.485 0.278 0.263
N8 0.278 0.778 0.263
N9 0.500 0.500 0.000
N10 0.000 0.000 0.000
# Raw total energy (eV per atom): -9.857
# Raw formation energy (meV/atom): -1191

=====

[7]
# NbTlTeRuIBr | Alexandria via LeMat-Bulk | GGA-PBE | relaxed
data_NbTlTeRuIBr
_symmetry_space_group_name_H-M 'P 1'
_symmetry_Int_Tables_number 1
_cell_length_a 3.898
_cell_length_b 5.150
_cell_length_c 9.848
_cell_angle_alpha 97.03
_cell_angle_beta 90.93
_cell_angle_gamma 90.04
loop_
_symmetry_equiv_pos_as_xyz
'x,y,z'
loop_
_atom_site_label
_atom_site_fract_x
_atom_site_fract_y
_atom_site_fract_z
Ru1 0.634 0.975 0.552
I1 0.190 0.128 0.771
Nb1 0.183 0.808 0.407
Tl1 0.693 0.668 0.889
Br1 0.207 0.928 0.165
Te1 0.681 0.445 0.467
# Raw total energy (eV per atom): -4.969
# Raw formation energy (meV/atom): -290
# Energy above the most stable polymorph in this dataset (kJ/mol of formula units): 0

=====

[8]
# Na5Tl4Au4 | Alexandria via LeMat-Bulk | GGA-PBE | relaxed
data_Na5Tl4Au4
_symmetry_space_group_name_H-M 'P 1'
_symmetry_Int_Tables_number 1
_cell_length_a 4.650
_cell_length_b 8.862
_cell_length_c 8.862
_cell_angle_alpha 86.05
_cell_angle_beta 74.79
_cell_angle_gamma 74.79
loop_
_symmetry_equiv_pos_as_xyz
'x,y,z'
loop_
_atom_site_label
_atom_site_fract_x
_atom_site_fract_y
_atom_site_fract_z
Na1 0.698 0.920 0.683
Na2 0.302 0.080 0.317
Na3 0.000 0.000 0.000
Na4 0.619 0.683 0.080
Na5 0.381 0.317 0.920
Tl1 0.883 0.518 0.715
Tl2 0.599 0.285 0.518
Tl3 0.117 0.482 0.285
Tl4 0.401 0.715 0.482
Au1 0.766 0.307 0.161
Au2 0.234 0.693 0.839
Au3 0.927 0.839 0.307
Au4 0.073 0.161 0.693
# Formation energy (eV/atom): -0.185
# Raw total energy (eV per atom): -2.429

=====

[9]
# ErPuAgSn | Alexandria via LeMat-Bulk | GGA-PBE | relaxed
data_ErPuAgSn
_symmetry_space_group_name_H-M 'P 1'
_symmetry_Int_Tables_number 1
_cell_length_a 5.246
_cell_length_b 5.246
_cell_length_c 5.246
_cell_angle_alpha 60.00
_cell_angle_beta 60.00
_cell_angle_gamma 60.00
loop_
_symmetry_equiv_pos_as_xyz
'x,y,z'
loop_
_atom_site_label
_atom_site_fract_x
_atom_site_fract_y
_atom_site_fract_z
Er1 0.500 0.500 0.500
Sn1 0.250 0.250 0.250
Ag1 0.750 0.750 0.750
Pu1 0.000 0.000 0.000
# Formation energy (eV/atom): -0.312
# Raw total energy (eV per atom): -6.750

=====

[10]
# MgMnRu4 | Alexandria via LeMat-Bulk | GGA-PBE | relaxed
data_MgMnRu4
_symmetry_space_group_name_H-M 'P 1'
_symmetry_Int_Tables_number 1
_cell_length_a 5.117
_cell_length_b 5.117
_cell_length_c 5.117
_cell_angle_alpha 60.00
_cell_angle_beta 60.00
_cell_angle_gamma 60.00
loop_
_symmetry_equiv_pos_as_xyz
'x,y,z'
loop_
_atom_site_label
_atom_site_fract_x
_atom_site_fract_y
_atom_site_fract_z
Mg1 0.750 0.750 0.750
Mn1 0.000 0.000 0.000
Ru1 0.876 0.375 0.375
Ru2 0.375 0.375 0.876
Ru3 0.375 0.876 0.375
Ru4 0.375 0.375 0.375
# Formation energy (eV/atom): 0.306
# Raw total energy (eV per atom): -7.671

=====

[11]
# TbSm2Zn | Alexandria via LeMat-Bulk | GGA-PBE | relaxed
data_TbSm2Zn
_symmetry_space_group_name_H-M 'P 1'
_symmetry_Int_Tables_number 1
_cell_length_a 5.407
_cell_length_b 5.407
_cell_length_c 5.407
_cell_angle_alpha 60.00
_cell_angle_beta 60.00
_cell_angle_gamma 60.00
loop_
_symmetry_equiv_pos_as_xyz
'x,y,z'
loop_
_atom_site_label
_atom_site_fract_x
_atom_site_fract_y
_atom_site_fract_z
Zn1 0.500 0.500 0.500
Tb1 0.000 0.000 0.000
Sm1 0.250 0.250 0.250
Sm2 0.750 0.750 0.750
# Formation energy (eV/atom): 0.045
# Raw total energy (eV per atom): -3.791
# Energy above the most stable polymorph in this dataset (kJ/mol of formula units): 75

=====

[12]
# Zr2Sc3Ag2 | Alexandria via LeMat-Bulk | GGA-PBE | relaxed
data_Zr2Sc3Ag2
_symmetry_space_group_name_H-M 'P 1'
_symmetry_Int_Tables_number 1
_cell_length_a 4.751
_cell_length_b 3.096
_cell_length_c 10.668
_cell_angle_alpha 90.00
_cell_angle_beta 77.13
_cell_angle_gamma 90.00
loop_
_symmetry_equiv_pos_as_xyz
'x,y,z'
loop_
_atom_site_label
_atom_site_fract_x
_atom_site_fract_y
_atom_site_fract_z
Zr1 0.719 0.500 0.561
Zr2 0.281 0.500 0.439
Sc1 0.855 0.000 0.291
Sc2 0.000 0.000 0.000
Sc3 0.145 0.000 0.709
Ag1 0.572 0.500 0.856
Ag2 0.428 0.500 0.144
# Formation energy (eV/atom): 0.003
# Raw total energy (eV per atom): -5.968